Entry from Alexandria via LeMat-Bulk: an optimized crystal structure of BeNiRu (PBE).

DFT formation energy (meV/atom): 225
N(E_F) (states/eV per atom): 1.15

Lattice parameters (Å, degrees): 3.695 3.695 3.695 60.00 60.00 60.00
Fractional positions:
Be: 0.000 0.000 0.000
Ni: 0.750 0.750 0.750
Ru: 0.250 0.250 0.250

Entry from Alexandria via LeMat-Bulk: an optimized crystal structure of HgHCl4 (PBE).

Energy (eV/atom): -2.17
N(E_F) (states/eV per atom): 0.11

Lattice parameters (Å, degrees): 10.024 10.024 5.981 95.48 95.48 141.62
Fractional positions:
Hg: 0.142 0.858 0.750
Hg: 0.858 0.142 0.250
H: 0.425 0.575 0.250
H: 0.575 0.425 0.750
Cl: 0.103 0.656 0.388
Cl: 0.194 0.329 0.105
Cl: 0.329 0.194 0.605
Cl: 0.344 0.897 0.112
Cl: 0.656 0.103 0.888
Cl: 0.671 0.806 0.395
Cl: 0.806 0.671 0.895
Cl: 0.897 0.344 0.612

Entry from Alexandria via LeMat-Bulk: an optimized crystal structure of Li7RuO6 (PBE).

E_form (uncorrected) (meV/atom): -1670
ΔE to the lowest computed polymorph (eV/atom): 0.009

Lattice parameters (Å, degrees): 5.787 5.787 5.787 57.82 57.82 57.82
Fractional positions:
Li: 0.000 0.000 0.000
Li: 0.070 0.466 0.833
Li: 0.283 0.842 0.579
Li: 0.466 0.833 0.070
Li: 0.579 0.283 0.842
Li: 0.833 0.070 0.466
Li: 0.842 0.579 0.283
Ru: 0.346 0.346 0.346
O: 0.142 0.719 0.420
O: 0.231 0.579 0.987
O: 0.420 0.142 0.719
O: 0.579 0.987 0.231
O: 0.719 0.420 0.142
O: 0.987 0.231 0.579

Entry from Alexandria via LeMat-Bulk: an optimized crystal structure of MnGePCN (PBE).

N(E_F) (states/eV per atom): 0.25
E_form (uncorrected) (meV/atom): 327
ΔE to the lowest computed polymorph (eV/atom): 0.234

Lattice parameters (Å, degrees): 3.842 2.986 5.667 90.00 91.57 90.00
Fractional positions:
Mn: 0.000 0.000 0.000
Ge: 0.532 0.500 0.450
P: 0.499 0.500 0.868
C: 0.848 0.000 0.346
N: 0.192 0.000 0.344